# 1
DFT (PBE-GGA) results for an optimized crystal structure of BaNaPb2F8.

Values from the calculation:
Space-group type: No. 47
Crystal system: orthorhombic
Total DFT energy (no corrections), eV per atom: -4.828
Volume, Å³/atom: 17.2
ΔE_f (raw), eV per formula unit: -32.304

a = 4.195 Å, b = 5.882 Å, c = 8.342 Å
α = 90.01°, β = 90.00°, γ = 89.97°
Element x y z (fractional)
Na 0.000 0.000 0.000
F 0.500 0.738 0.000
F 0.000 0.267 0.238
F 0.000 0.732 0.238
F 0.500 0.262 0.000
Ba 0.000 0.000 0.500
F 0.500 0.728 0.500
F 0.000 0.268 0.762
Pb 0.500 0.500 0.232
F 0.000 0.733 0.762
Pb 0.500 0.500 0.768
F 0.500 0.272 0.500


# 2
DFT (PBE-GGA) results for an optimized crystal structure of BaNa2PbF8.

Values from the calculation:
Space-group type: No. 10
Crystal system: monoclinic
Total DFT energy (no corrections), eV per atom: -4.633
Volume, Å³/atom: 16.7
ΔE_f (raw), eV per formula unit: -32.350

a = 4.428 Å, b = 5.674 Å, c = 7.993 Å
α = 89.99°, β = 90.00°, γ = 90.06°
Element x y z (fractional)
F 0.113 0.772 0.203
F 0.113 0.772 0.797
Ba 0.000 0.000 0.500
F 0.519 0.740 0.500
Na 0.500 0.500 0.739
F 0.887 0.228 0.797
F 0.382 0.221 0.000
F 0.887 0.228 0.203
Na 0.500 0.500 0.261
F 0.481 0.260 0.500
F 0.618 0.779 0.000
Pb 0.000 0.000 0.000


# 3
DFT (PBE-GGA) results for an optimized crystal structure of BaNa2PdF8.

Values from the calculation:
Space-group type: No. 164
Crystal system: trigonal
Total DFT energy (no corrections), eV per atom: -4.410
Volume, Å³/atom: 15.2
ΔE_f (raw), eV per formula unit: -28.202

a = 5.194 Å, b = 5.194 Å, c = 7.800 Å
α = 90.00°, β = 90.00°, γ = 120.00°
Element x y z (fractional)
F 0.832 0.664 0.844
F 0.168 0.832 0.156
Pd 0.000 0.000 0.000
Na 0.333 0.667 0.830
F 0.336 0.168 0.844
F 0.832 0.168 0.844
F 0.168 0.336 0.156
Ba 0.000 0.000 0.500
Na 0.667 0.333 0.170
F 0.664 0.832 0.156
F 0.667 0.333 0.444
F 0.333 0.667 0.556


# 4
DFT (PBE-GGA) results for an optimized crystal structure of Ba2NaPdF.

Values from the calculation:
Space-group type: No. 123
Crystal system: tetragonal
Total DFT energy (no corrections), eV per atom: -3.632
Volume, Å³/atom: 28.6
ΔE_f (raw), eV per formula unit: -5.933

a = 5.594 Å, b = 5.594 Å, c = 4.566 Å
α = 90.00°, β = 90.00°, γ = 90.00°
Element x y z (fractional)
Ba 0.000 0.500 0.000
Na 0.000 0.000 0.500
F 0.000 0.000 0.000
Ba 0.500 0.000 0.000
Pd 0.500 0.500 0.500


# 5
DFT (PBE-GGA) results for an optimized crystal structure of BaNa4Pd3F12.

Values from the calculation:
Space-group type: No. 204
Crystal system: cubic
Total DFT energy (no corrections), eV per atom: -4.491
Volume, Å³/atom: 14.5
ΔE_f (raw), eV per formula unit: -44.578

a = 7.221 Å, b = 7.221 Å, c = 7.221 Å
α = 109.47°, β = 109.47°, γ = 109.47°
Site moments in Bohr magnetons follow the coordinates.
Element x y z (fractional)
Ba 0.000 0.000 0.000  0.00
F 0.470 0.314 0.156  0.00
F 0.844 0.530 0.686  0.00
Na 0.500 0.500 0.500  0.00
F 0.314 0.844 0.158  0.00
F 0.314 0.156 0.470  0.00
Na 0.000 0.500 0.000  0.00
F 0.686 0.156 0.842  0.00
Pd 0.500 0.000 0.500  0.06
F 0.530 0.686 0.844  0.00
F 0.844 0.158 0.314  0.00
Pd 0.000 0.500 0.500  0.06
Na 0.000 0.000 0.500  0.00
Na 0.500 0.000 0.000  0.00
F 0.842 0.686 0.156  0.00
Pd 0.500 0.500 0.000  0.06
F 0.156 0.470 0.314  0.00
F 0.686 0.844 0.530  0.00
F 0.156 0.842 0.686  0.00
F 0.158 0.314 0.844  0.00


# 6
DFT (PBE-GGA) results for an optimized crystal structure of Ba2NaPdF8.

Values from the calculation:
Space-group type: No. 164
Crystal system: trigonal
Total DFT energy (no corrections), eV per atom: -4.711
Volume, Å³/atom: 18.0
ΔE_f (raw), eV per formula unit: -31.207

a = 5.681 Å, b = 5.681 Å, c = 7.715 Å
α = 90.00°, β = 90.00°, γ = 120.00°
Site moments in Bohr magnetons follow the coordinates.
Element x y z (fractional)
F 0.330 0.165 0.839  0.05
F 0.165 0.835 0.161  0.05
F 0.835 0.165 0.839  0.05
Ba 0.667 0.333 0.197  0.00
F 0.667 0.333 0.502  0.00
F 0.165 0.330 0.161  0.05
F 0.670 0.835 0.161  0.05
Ba 0.333 0.667 0.803  0.00
Na 0.000 0.000 0.500  0.00
F 0.835 0.670 0.839  0.05
F 0.333 0.667 0.498  0.00
Pd 0.000 0.000 0.000  0.64


# 7
DFT (PBE-GGA) results for an optimized crystal structure of BaNa2PtF8.

Values from the calculation:
Space-group type: No. 164
Crystal system: trigonal
Total DFT energy (no corrections), eV per atom: -4.509
Volume, Å³/atom: 15.4
ΔE_f (raw), eV per formula unit: -28.541

a = 5.170 Å, b = 5.170 Å, c = 8.007 Å
α = 90.00°, β = 90.00°, γ = 120.00°
Element x y z (fractional)
F 0.333 0.667 0.552
F 0.667 0.333 0.448
F 0.833 0.667 0.841
F 0.167 0.833 0.159
F 0.333 0.167 0.841
F 0.167 0.333 0.159
F 0.667 0.833 0.159
F 0.833 0.167 0.841
Na 0.333 0.667 0.818
Ba 0.000 0.000 0.500
Na 0.667 0.333 0.182
Pt 0.000 0.000 0.000


# 8
DFT (PBE-GGA) results for an optimized crystal structure of BaNa2PtF.

Values from the calculation:
Space-group type: No. 123
Crystal system: tetragonal
Total DFT energy (no corrections), eV per atom: -3.755
Volume, Å³/atom: 23.3
ΔE_f (raw), eV per formula unit: -6.301

a = 4.570 Å, b = 4.570 Å, c = 5.587 Å
α = 90.00°, β = 90.00°, γ = 90.00°
Element x y z (fractional)
Na 0.000 0.500 0.000
Ba 0.000 0.000 0.500
Na 0.500 0.000 0.000
Pt 0.500 0.500 0.500
F 0.000 0.000 0.000


# 9
DFT (PBE-GGA) results for an optimized crystal structure of Ba2NaPtF8.

Values from the calculation:
Space-group type: No. 164
Crystal system: trigonal
Total DFT energy (no corrections), eV per atom: -4.727
Volume, Å³/atom: 18.2
ΔE_f (raw), eV per formula unit: -30.551

a = 5.633 Å, b = 5.633 Å, c = 7.949 Å
α = 90.00°, β = 90.00°, γ = 120.00°
Site moments in Bohr magnetons follow the coordinates.
Element x y z (fractional)
Ba 0.333 0.667 0.792  0.00
F 0.327 0.164 0.833  0.05
F 0.667 0.333 0.503  0.00
F 0.673 0.836 0.167  0.05
F 0.836 0.164 0.833  0.05
F 0.333 0.667 0.497  0.00
F 0.164 0.836 0.167  0.05
Pt 0.000 0.000 0.000  0.67
F 0.836 0.673 0.833  0.05
F 0.164 0.327 0.167  0.05
Na 0.000 0.000 0.500  0.00
Ba 0.667 0.333 0.208  0.00


# 10
DFT (PBE-GGA) results for an optimized crystal structure of BaNaPtF6.

Values from the calculation:
Space-group type: No. 149
Crystal system: trigonal
Total DFT energy (no corrections), eV per atom: -4.693
Volume, Å³/atom: 18.0
ΔE_f (raw), eV per formula unit: -21.722

a = 5.594 Å, b = 5.785 Å, c = 5.785 Å
α = 120.00°, β = 90.00°, γ = 90.00°
Site moments in Bohr magnetons follow the coordinates.
Element x y z (fractional)
Na 0.500 0.667 0.333  0.00
F 0.287 0.988 0.696  0.04
F 0.287 0.708 0.012  0.04
Ba 0.000 0.333 0.667  0.01
Pt 0.500 0.000 0.000  0.69
F 0.287 0.304 0.292  0.04
F 0.713 0.708 0.696  0.04
F 0.713 0.988 0.292  0.04
F 0.713 0.304 0.012  0.04


# 11
DFT (PBE-GGA) results for an optimized crystal structure of Rb2BaNaF6.

Values from the calculation:
Space-group type: No. 14
Crystal system: monoclinic
Total DFT energy (no corrections), eV per atom: -4.362
Volume, Å³/atom: 21.1
ΔE_f (raw), eV per formula unit: -27.215

a = 6.663 Å, b = 6.767 Å, c = 9.348 Å
α = 90.00°, β = 91.39°, γ = 90.00°
Site moments in Bohr magnetons follow the coordinates.
Element x y z (fractional)
F 0.399 0.954 0.739  0.16
F 0.198 0.218 0.050  0.15
Na 0.000 0.500 0.000  0.00
Rb 0.016 0.954 0.246  0.00
F 0.802 0.782 0.950  0.15
F 0.601 0.046 0.261  0.16
F 0.101 0.454 0.761  0.16
F 0.282 0.705 0.055  0.16
Ba 0.500 0.000 0.000  0.04
F 0.302 0.718 0.450  0.15
F 0.218 0.205 0.445  0.16
F 0.698 0.282 0.550  0.15
Rb 0.984 0.046 0.754  0.00
Ba 0.000 0.500 0.500  0.04
Rb 0.516 0.546 0.746  0.00
F 0.718 0.295 0.945  0.16
F 0.782 0.795 0.555  0.16
Na 0.500 0.000 0.500  0.00
Rb 0.484 0.454 0.254  0.00
F 0.899 0.546 0.239  0.16


# 12
DFT (PBE-GGA) results for an optimized crystal structure of RbBaNaF4.

Values from the calculation:
Space-group type: No. 63
Crystal system: orthorhombic
Total DFT energy (no corrections), eV per atom: -4.801
Volume, Å³/atom: 18.4
ΔE_f (raw), eV per formula unit: -21.915

a = 5.998 Å, b = 6.151 Å, c = 7.590 Å
α = 90.00°, β = 113.27°, γ = 90.00°
Site moments in Bohr magnetons follow the coordinates.
Element x y z (fractional)
F 0.000 0.000 0.500  0.01
Ba 0.876 0.750 0.753  0.00
F 0.500 0.500 0.500  0.01
Rb 0.396 0.250 0.792  0.00
Rb 0.604 0.750 0.208  0.00
F 0.935 0.250 0.870  0.00
Na 0.752 0.250 0.504  0.00
Na 0.248 0.750 0.496  0.00
F 0.000 0.500 0.500  0.01
F 0.065 0.750 0.130  0.00
F 0.500 0.000 0.500  0.01
Ba 0.124 0.250 0.247  0.00
F 0.413 0.750 0.826  0.07
F 0.587 0.250 0.174  0.07